No. 1
KFe2Tc: relaxed, GGA-PBE.

**Offset from the most stable computed form**: 60 meV per atom
**Calculated formation energy**: 3.03 eV/f.u.
**Magnetic moment**: 1.042 μB/atom
**Raw total energy**: -25.4 eV/cell

Cell lengths 2.6941, 3.5868, 7.8999 Å; angles 90.00, 90.00, 90.00 degrees
Space group Pmm2 (No. 25)
Inequivalent atoms, fractional coordinates:
K: 0.0000 0.0000 0.0000 [1 per cell]
Fe: 0.0000 0.0000 0.5049 [1 per cell]
Fe: 0.5000 0.5000 0.6573 [1 per cell]
Tc: 0.5000 0.5000 0.3598 [1 per cell]

No. 2
KFe3Tc: relaxed, GGA-PBE.

**Offset from the most stable computed form**: 1339 meV per atom
**Calculated formation energy**: 13.24 eV/f.u.
**Magnetic moment**: 2.116 μB/atom
**Raw total energy**: -23.6 eV/cell

Cell lengths 4.4026, 4.4026, 4.4026 Å; angles 90.00, 90.00, 90.00 degrees
Space group Pm-3m (No. 221)
Inequivalent atoms, fractional coordinates:
K: 0.0000 0.0000 0.0000 [1 per cell]
Fe: 0.0000 0.0000 0.5000 [3 per cell]
Tc: 0.5000 0.5000 0.5000 [1 per cell]

No. 3
KFeTc2: relaxed, GGA-PBE.

**Offset from the most stable computed form**: 842 meV per atom
**Calculated formation energy**: 6.36 eV/f.u.
**Magnetic moment**: 0.734 μB/atom
**Raw total energy**: -47.9 eV/cell

Cell lengths 3.7744, 3.7744, 9.6883 Å; angles 90.00, 90.00, 90.00 degrees
Space group I4/mmm (No. 139)
Inequivalent atoms, fractional coordinates:
K: 0.0000 0.0000 0.0000 [2 per cell]
Fe: 0.0000 0.0000 0.5000 [2 per cell]
Tc: 0.0000 0.5000 0.2500 [4 per cell]

No. 4
K2FeTc: relaxed, GGA-PBE.

**Offset from the most stable computed form**: 1024 meV per atom
**Calculated formation energy**: 7.36 eV/f.u.
**Magnetic moment**: 1.737 μB/atom
**Raw total energy**: -54.7 eV/cell

Cell lengths 7.9504, 7.9504, 7.9504 Å; angles 90.00, 90.00, 90.00 degrees
Space group Fm-3m (No. 225)
Inequivalent atoms, fractional coordinates:
K: 0.2500 0.2500 0.2500 [8 per cell]
Fe: 0.0000 0.0000 0.0000 [4 per cell]
Tc: 0.0000 0.0000 0.5000 [4 per cell]

No. 5
KFeTc2: relaxed, GGA-PBE.

**Offset from the most stable computed form**: 655 meV per atom
**Calculated formation energy**: 5.61 eV/f.u.
**Magnetic moment**: 0.640 μB/atom
**Raw total energy**: -98.7 eV/cell

Cell lengths 6.4179, 6.4179, 6.4179 Å; angles 90.00, 90.00, 90.00 degrees
Space group F-43m (No. 216)
Inequivalent atoms, fractional coordinates:
K: 0.0000 0.0000 0.0000 [4 per cell]
Fe: 0.2500 0.2500 0.2500 [4 per cell]
Tc: 0.0000 0.0000 0.5000 [4 per cell]
Tc: 0.2500 0.2500 0.7500 [4 per cell]

No. 6
K2FeTc: relaxed, GGA-PBE.

**Offset from the most stable computed form**: 593 meV per atom
**Calculated formation energy**: 5.63 eV/f.u.
**Magnetic moment**: 0.832 μB/atom
**Raw total energy**: -30.8 eV/cell

Cell lengths 5.7265, 11.7239, 2.7392 Å; angles 90.00, 113.30, 90.00 degrees
Space group C2/m (No. 12)
Inequivalent atoms, fractional coordinates:
K: 0.2500 0.2500 0.0000 [4 per cell]
Fe: 0.0000 0.0000 0.5000 [2 per cell]
Tc: 0.0000 0.5000 0.5000 [2 per cell]

No. 7
KFeTc2: relaxed, GGA-PBE.

**Offset from the most stable computed form**: 74 meV per atom
**Calculated formation energy**: 3.29 eV/f.u.
**Magnetic moment**: 0.650 μB/atom
**Raw total energy**: -27.0 eV/cell

Cell lengths 2.6666, 2.6666, 9.6606 Å; angles 90.00, 90.00, 90.00 degrees
Space group P4/mmm (No. 123)
Inequivalent atoms, fractional coordinates:
K: 0.0000 0.0000 0.0000 [1 per cell]
Fe: 0.0000 0.0000 0.5000 [1 per cell]
Tc: 0.5000 0.5000 0.3110 [2 per cell]

No. 8
K2FeTc: relaxed, GGA-PBE.

**Offset from the most stable computed form**: 510 meV per atom
**Calculated formation energy**: 5.30 eV/f.u.
**Magnetic moment**: 1.034 μB/atom
**Raw total energy**: -62.9 eV/cell

Cell lengths 12.5606, 12.5606, 4.4426 Å; angles 90.00, 90.00, 90.00 degrees
Space group I-42d (No. 122)
Inequivalent atoms, fractional coordinates:
K: 0.0623 0.2500 0.1250 [8 per cell]
Fe: 0.0000 0.0000 0.0000 [4 per cell]
Tc: 0.0000 0.0000 0.5000 [4 per cell]

- Among the records above, which one has the lowest calculated formation energy?
  KFe2Tc